Entry 1:
The following is a PBE-GGA calculation of PaAlVRe after structural relaxation, from Alexandria via LeMat-Bulk.

Unit cell a=6.4816 b=6.4816 c=6.4816 alpha=90.00 beta=90.00 gamma=90.00
With the nearest neighbours (Å) after each atom.
Space group F-43m (No. 216)
Unique sites:
Pa 0.0000 0.0000 0.0000 [4 per cell]  4 Re 2.81, 4 V 2.81
Al 0.0000 0.0000 0.5000 [4 per cell]  4 Re 2.81, 4 V 2.81
V 0.2500 0.2500 0.7500 [4 per cell]  4 Pa 2.81, 4 Al 2.81
Re 0.2500 0.2500 0.2500 [4 per cell]  4 Pa 2.81, 4 Al 2.81

Computed properties:
- V: 17.02 Å³/atom
- Energy of formation: -112.8 meV/atom

***

Entry 2:
The following is a PBE-GGA calculation of TaAs2Ru after structural relaxation, from Alexandria via LeMat-Bulk.

Unit cell a=3.0799 b=4.3669 c=9.6567 alpha=90.00 beta=90.00 gamma=90.00
With the nearest neighbours (Å) after each atom.
Space group Imm2 (No. 44)
Unique sites:
Ta 0.0000 0.0000 0.0000 [2 per cell]  6 As 2.68-2.84
As 0.0000 0.0000 0.5270 [2 per cell]  2 Ru 2.50, 4 Ta 2.68
As 0.0000 0.5000 0.7476 [2 per cell]  4 Ru 2.68, 2 Ta 2.84
Ru 0.0000 0.5000 0.2305 [2 per cell]  6 As 2.50-2.68

Computed properties:
- Excess energy over the best structure of this formula in the dataset: 0.1168 eV per atom
- V: 16.24 Å³/atom
- Energy of formation: -94.3 meV/atom

***

Entry 3:
The following is a PBE-GGA calculation of Ca2TlSe after structural relaxation, from Alexandria via LeMat-Bulk.

Unit cell a=7.7680 b=7.7680 c=7.7680 alpha=90.00 beta=90.00 gamma=90.00
With the nearest neighbours (Å) after each atom.
Space group F-43m (No. 216)
Unique sites:
Ca 0.0000 0.0000 0.0000 [4 per cell]  4 Se 3.36, 4 Ca 3.36
Ca 0.2500 0.2500 0.2500 [4 per cell]  4 Tl 3.36, 4 Ca 3.36
Tl 0.0000 0.0000 0.5000 [4 per cell]  4 Ca 3.36, 4 Se 3.36
Se 0.2500 0.2500 0.7500 [4 per cell]  4 Tl 3.36, 4 Ca 3.36

Computed properties:
- Excess energy over the best structure of this formula in the dataset: 0.8066 eV per atom
- V: 29.30 Å³/atom
- Raw formation energy: -0.292 eV per atom

***

Entry 4:
The following is a PBE-GGA calculation of CsAuC2 after structural relaxation, from Alexandria via LeMat-Bulk.

Unit cell a=4.8676 b=4.8676 c=5.2432 alpha=90.00 beta=90.00 gamma=90.00
With the nearest neighbours (Å) after each atom.
Space group P4/mmm (No. 123)
Unique sites:
Cs 0.0000 0.0000 0.0000 [1 per cell]  8 C 3.50
Au 0.5000 0.5000 0.5000 [1 per cell]  2 C 2.00
C 0.5000 0.5000 0.1191 [2 per cell]  1 C 1.25

Computed properties:
- Excess energy over the best structure of this formula in the dataset: 0.0000 eV per atom
- V: 31.06 Å³/atom
- Energy of formation: 166.8 meV/atom

***

Entry 5:
The following is a PBE-GGA calculation of TaFeRe2 after structural relaxation, from Alexandria via LeMat-Bulk.

Unit cell a=3.1281 b=4.3945 c=8.7723 alpha=90.00 beta=90.00 gamma=90.00
With the nearest neighbours (Å) after each atom.
Space group Immm (No. 71)
Unique sites:
Ta 0.0000 0.0000 0.0000 [2 per cell]  4 Fe 2.70, 4 Re 2.71
Fe 0.0000 0.0000 0.5000 [2 per cell]  4 Re 2.68, 4 Ta 2.70
Re 0.0000 0.5000 0.2480 [4 per cell]  2 Fe 2.68, 4 Re 2.70, 2 Ta 2.71

Computed properties:
- V: 15.07 Å³/atom
- Energy of formation: 8.5 meV/atom

***

Entry 6:
The following is a PBE-GGA calculation of Fe2HgCl after structural relaxation, from Alexandria via LeMat-Bulk.

Unit cell a=2.9302 b=5.4883 c=8.5691 alpha=90.00 beta=90.00 gamma=90.00
With the nearest neighbours (Å) after each atom.
Space group Cmmm (No. 65)
Unique sites:
Fe 0.0000 0.0000 0.2291 [4 per cell]  2 Cl 2.45
Hg 0.0000 0.5000 0.5000 [2 per cell]  4 Fe 2.75, 2 Hg 2.93
Cl 0.0000 0.5000 0.0000 [2 per cell]  4 Fe 2.45

Computed properties:
- Excess energy over the best structure of this formula in the dataset: 0.2991 eV per atom
- V: 17.23 Å³/atom
- Raw formation energy: 0.436 eV per atom

***

Entry 7:
The following is a PBE-GGA calculation of Al2SiHg after structural relaxation, from Alexandria via LeMat-Bulk.

Unit cell a=6.3357 b=7.5234 c=3.0719 alpha=90.00 beta=90.00 gamma=90.00
With the nearest neighbours (Å) after each atom.
Space group Cmmm (No. 65)
Unique sites:
Al 0.2500 0.2500 0.0000 [4 per cell]  4 Hg 2.90, 4 Si 2.90, 4 Al 3.07-3.17
Si 0.0000 0.0000 0.5000 [2 per cell]  8 Al 2.90, 2 Si 3.07, 2 Hg 3.17
Hg 0.0000 0.5000 0.5000 [2 per cell]  8 Al 2.90, 2 Hg 3.07, 2 Si 3.17

Computed properties:
- Excess energy over the best structure of this formula in the dataset: 0.1050 eV per atom
- V: 18.30 Å³/atom
- Raw formation energy: 0.279 eV per atom

***

Entry 8:
The following is a PBE-GGA calculation of Ho4Co2Pb after structural relaxation, from Alexandria via LeMat-Bulk.

Unit cell a=8.8596 b=12.5473 c=13.2436 alpha=90.00 beta=90.00 gamma=90.00
With the nearest neighbours (Å) after each atom.
Space group Fddd (No. 70, origin choice 2)
Unique sites:
Ho 0.0346 0.2812 0.4597 [32 per cell]  3 Co 2.61-2.82
Co 0.0000 0.0000 0.0000 [16 per cell]  6 Ho 2.61-2.82
Pb 0.1250 0.1250 0.6250 [8 per cell]  4 Ho 3.05

Computed properties:
- V: 26.29 Å³/atom
- Energy of formation: -51.5 meV/atom

***

Entry 9:
The following is a PBE-GGA calculation of NaMn3Cd after structural relaxation, from Alexandria via LeMat-Bulk.

Unit cell a=5.1519 b=5.1519 c=5.1519 alpha=90.00 beta=90.00 gamma=90.00
With the nearest neighbours (Å) after each atom.
Space group Pm-3m (No. 221)
Unique sites:
Na 0.0000 0.0000 0.0000 [1 per cell]  12 Mn 3.64
Mn 0.0000 0.5000 0.5000 [3 per cell]  2 Cd 2.58
Cd 0.5000 0.5000 0.5000 [1 per cell]  6 Mn 2.58

Computed properties:
- Excess energy over the best structure of this formula in the dataset: 0.0000 eV per atom
- V: 27.35 Å³/atom
- Energy of formation: 1117.2 meV/atom

***

Entry 10:
The following is a PBE-GGA calculation of Tb3Zn3Ir2 after structural relaxation, from Alexandria via LeMat-Bulk.

Unit cell a=4.0768 b=10.2398 c=15.8713 alpha=90.00 beta=90.00 gamma=90.00
With the nearest neighbours (Å) after each atom.
Space group Cmcm (No. 63)
Unique sites:
Tb 0.0000 0.0729 0.1052 [8 per cell]  3 Ir 2.95-3.00, 7 Zn 3.06-3.19
Tb 0.0000 0.3462 0.2500 [4 per cell]  3 Zn 2.96-2.98, 4 Ir 3.03
Zn 0.0000 0.3616 0.0319 [8 per cell]  3 Ir 2.57-2.76
Zn 0.0000 0.3632 0.7500 [4 per cell]  2 Ir 2.59
Ir 0.0000 0.2198 0.6157 [8 per cell]  4 Zn 2.57-2.76

Computed properties:
- V: 20.70 Å³/atom
- Energy of formation: -583.5 meV/atom

***

Entry 11:
The following is a PBE-GGA calculation of Hf2AlIr after structural relaxation, from Alexandria via LeMat-Bulk.

Unit cell a=7.5254 b=7.5254 c=5.7940 alpha=90.00 beta=90.00 gamma=90.00
With the nearest neighbours (Å) after each atom.
Space group I-42d (No. 122)
Unique sites:
Hf 0.2099 0.2500 0.1250 [8 per cell]  2 Ir 2.56
Al 0.0000 0.0000 0.5000 [4 per cell]  2 Ir 2.90, 4 Hf 2.97
Ir 0.0000 0.0000 0.0000 [4 per cell]  4 Hf 2.56

Computed properties:
- V: 20.51 Å³/atom
- Energy of formation: -116.9 meV/atom

***

Entry 12:
The following is a PBE-GGA calculation of LaAuC after structural relaxation, from Alexandria via LeMat-Bulk.

Unit cell a=4.0230 b=4.2837 c=8.4202 alpha=80.78 beta=78.23 gamma=68.71
With the nearest neighbours (Å) after each atom.
Space group P1 (No. 1)
Unique sites:
La 0.0000 0.0000 0.0000 [1 per cell]  4 C 2.56-2.77
La 0.4290 0.4864 0.6311 [1 per cell]  4 C 2.57-2.78
Au 0.2894 0.3367 0.2404 [1 per cell]  3 Au 2.83-2.84, 1 La 3.15
Au 0.8814 0.9241 0.3998 [1 per cell]  3 Au 2.83-2.84, 2 La 3.12-3.13
C 0.6322 0.8980 0.7862 [1 per cell]  1 C 1.32
C 0.8001 0.5867 0.8451 [1 per cell]  1 C 1.32

Computed properties:
- V: 21.96 Å³/atom
- Energy of formation: -381.7 meV/atom

***

Entry 13:
The following is a PBE-GGA calculation of KBe2BiF8 after structural relaxation, from Alexandria via LeMat-Bulk.

Unit cell a=5.0337 b=5.0337 c=24.0483 alpha=90.00 beta=90.00 gamma=120.00
With the nearest neighbours (Å) after each atom.
Space group R32 (No. 155, hexagonal axes)
Unique sites:
K 0.0000 0.0000 0.0000 [3 per cell]  12 F 2.95-3.14
Be 0.0000 0.0000 0.2519 [6 per cell]  4 F 1.48-1.60
Bi 0.0000 0.0000 0.5000 [3 per cell]  6 F 2.29
F 0.0000 0.0000 0.3134 [6 per cell]  1 Be 1.48
F 0.0021 0.2932 0.7742 [18 per cell]  1 Be 1.60

Computed properties:
- V: 14.66 Å³/atom
- Raw formation energy: -2.914 eV per atom

***

Entry 14:
The following is a PBE-GGA calculation of VSb2TeAs after structural relaxation, from Alexandria via LeMat-Bulk.

Unit cell a=5.2265 b=5.2265 c=5.4468 alpha=90.00 beta=90.00 gamma=90.00
With the nearest neighbours (Å) after each atom.
Space group P4/mmm (No. 123)
Unique sites:
V 0.0000 0.0000 0.0000 [1 per cell]  4 Te 3.70, 8 Sb 3.77
Sb 0.0000 0.5000 0.5000 [2 per cell]  2 As 2.61
Te 0.5000 0.5000 0.0000 [1 per cell]  2 As 2.72
As 0.5000 0.5000 0.5000 [1 per cell]  4 Sb 2.61, 2 Te 2.72

Computed properties:
- Excess energy over the best structure of this formula in the dataset: 0.6830 eV per atom
- V: 29.76 Å³/atom
- Raw formation energy: 1.172 eV per atom

***

Entry 15:
The following is a PBE-GGA calculation of Tb2Nd2Dy2In after structural relaxation, from Alexandria via LeMat-Bulk.

Unit cell a=5.8757 b=5.8652 c=13.0804 alpha=90.00 beta=102.94 gamma=90.00
With the nearest neighbours (Å) after each atom.
Space group C2/m (No. 12)
Unique sites:
Tb 0.0664 0.0000 0.1283 [4 per cell]  1 Tb 3.27, 4 In 3.35-3.38, 4 Dy 3.47-3.49
Nd 0.2096 0.0000 0.4184 [4 per cell]  4 Dy 3.46, 4 Nd 3.60, 1 Tb 3.70
Dy 0.1380 0.5000 0.2750 [4 per cell]  4 Nd 3.46, 4 Tb 3.47-3.49, 1 In 3.51
In 0.0000 0.5000 0.0000 [2 per cell]  8 Tb 3.35-3.38, 2 Dy 3.51

Computed properties:
- V: 31.38 Å³/atom
- Energy of formation: -29.6 meV/atom

***

Entry 16:
The following is a PBE-GGA calculation of BaMg3As after structural relaxation, from Alexandria via LeMat-Bulk.

Unit cell a=5.3897 b=5.3897 c=5.3897 alpha=90.00 beta=90.00 gamma=90.00
With the nearest neighbours (Å) after each atom.
Space group Pm-3m (No. 221)
Unique sites:
Ba 0.0000 0.0000 0.0000 [1 per cell]  12 Mg 3.81
Mg 0.0000 0.5000 0.5000 [3 per cell]  2 As 2.69
As 0.5000 0.5000 0.5000 [1 per cell]  6 Mg 2.69

Computed properties:
- Excess energy over the best structure of this formula in the dataset: 0.0000 eV per atom
- V: 31.31 Å³/atom
- Energy of formation: -58.2 meV/atom

***

Entry 17:
The following is a PBE-GGA calculation of CsCaSi3 after structural relaxation, from Alexandria via LeMat-Bulk.

Unit cell a=5.5988 b=5.5988 c=5.5988 alpha=90.00 beta=90.00 gamma=90.00
With the nearest neighbours (Å) after each atom.
Space group Pm-3m (No. 221)
Unique sites:
Cs 0.0000 0.0000 0.0000 [1 per cell]  12 Si 3.96
Ca 0.5000 0.5000 0.5000 [1 per cell]  6 Si 2.80
Si 0.0000 0.5000 0.5000 [3 per cell]  2 Ca 2.80

Computed properties:
- Excess energy over the best structure of this formula in the dataset: 0.0000 eV per atom
- V: 35.10 Å³/atom
- Raw formation energy: 0.979 eV per atom

***

Entry 18:
The following is a PBE-GGA calculation of HfTaMnRu after structural relaxation, from Alexandria via LeMat-Bulk.

Unit cell a=3.1499 b=3.1499 c=6.3482 alpha=90.00 beta=90.00 gamma=90.00
With the nearest neighbours (Å) after each atom.
Space group P4mm (No. 99)
Unique sites:
Hf 0.0000 0.0000 0.0000 [1 per cell]  4 Mn 2.75, 4 Ru 2.79, 1 Ta 3.06
Ta 0.0000 0.0000 0.4822 [1 per cell]  4 Mn 2.66, 4 Ru 2.75
Mn 0.5000 0.5000 0.2539 [1 per cell]  4 Ta 2.66, 4 Hf 2.75
Ru 0.5000 0.5000 0.7355 [1 per cell]  4 Ta 2.75, 4 Hf 2.79, 1 Mn 3.06

Computed properties:
- V: 15.75 Å³/atom
- Energy of formation: -443.0 meV/atom

***

Entry 19:
The following is a PBE-GGA calculation of Ac6POs2Cl3 after structural relaxation, from Alexandria via LeMat-Bulk.

Unit cell a=7.6132 b=13.1835 c=8.1844 alpha=90.00 beta=108.03 gamma=90.00
With the nearest neighbours (Å) after each atom.
Space group C2/m (No. 12)
Unique sites:
Ac 0.2199 0.0000 0.2056 [4 per cell]  2 Os 2.95, 1 P 3.10
Ac 0.2420 0.3259 0.2058 [8 per cell]  2 Os 2.95-2.96, 1 P 3.09
P 0.0000 0.5000 0.0000 [2 per cell]  6 Ac 3.09-3.10
Os 0.0000 0.1668 0.0000 [4 per cell]  6 Ac 2.95-2.96
Cl 0.0000 0.0000 0.5000 [2 per cell]  6 Ac 3.33-3.46
Cl 0.0000 0.3346 0.5000 [4 per cell]  6 Ac 3.35-3.46

Computed properties:
- V: 32.55 Å³/atom
- Raw formation energy: -1.069 eV per atom

***

Entry 20:
The following is a PBE-GGA calculation of YHg2Br after structural relaxation, from Alexandria via LeMat-Bulk.

Unit cell a=3.8254 b=5.4751 c=5.6635 alpha=90.00 beta=100.34 gamma=90.00
With the nearest neighbours (Å) after each atom.
Space group P2/m (No. 10)
Unique sites:
Y 0.0000 0.0000 0.0000 [1 per cell]  2 Br 2.83
Hg 0.3956 0.5000 0.2345 [2 per cell]  2 Hg 2.91-2.97
Br 0.0000 0.0000 0.5000 [1 per cell]  2 Y 2.83

Computed properties:
- Excess energy over the best structure of this formula in the dataset: 0.1392 eV per atom
- V: 29.17 Å³/atom
- Raw formation energy: -0.452 eV per atom

***

Number 1: electronic total energy -35.256 eV per formula unit. Number 2: electronic total energy -30.805 eV per formula unit. Number 3: electronic total energy -11.020 eV per formula unit. Number 4: electronic total energy -21.912 eV per formula unit. Number 5: electronic total energy -45.177 eV per formula unit. Number 6: electronic total energy -17.330 eV per formula unit. Number 7: electronic total energy -12.095 eV per formula unit. Number 8: electronic total energy -36.591 eV per formula unit. Number 9: electronic total energy -24.157 eV per formula unit. Number 10: electronic total energy -40.103 eV per formula unit. Number 11: electronic total energy -32.978 eV per formula unit. Number 12: electronic total energy -18.574 eV per formula unit. Number 13: electronic total energy -62.369 eV per formula unit. Number 14: electronic total energy -19.293 eV per formula unit. Number 15: electronic total energy -30.946 eV per formula unit. Number 16: electronic total energy -11.647 eV per formula unit. Number 17: electronic total energy -14.228 eV per formula unit. Number 18: electronic total energy -42.024 eV per formula unit. Number 19: electronic total energy -70.883 eV per formula unit. Number 20: electronic total energy -10.550 eV per formula unit.